DFT (PBE) results for KCrAu after structural relaxation.

The structure in POSCAR format:
```
KCrAu
1.0
-6.153 2.452 0.206
-6.284 -0.837 1.931
-0.323 1.729 3.273
K Cr Au
1 1 1
direct
0.663 0.663 0.337
0.393 0.393 0.607
0.945 0.945 0.055
```

Properties
V, Å³ per atom: 27.998
N(E_F), states/eV per atom: 0.6236
Formation enthalpy at 0 K, eV/f.u.: 1.082

DFT (PBE) results for CdSiMoBr after structural relaxation.

The structure in POSCAR format:
```
CdSiMoBr
1.0
4.693 0.000 -0.011
0.000 2.962 0.000
-2.333 0.000 6.453
Mo Cd Si Br
1 1 1 1
direct
0.644 0.000 0.625
0.869 0.500 0.075
0.488 0.500 0.314
0.211 0.000 0.759
```

Properties
V, Å³ per atom: 22.406
N(E_F), states/eV per atom: 0.7075
Formation energy from raw total energies, meV per atom: 445

DFT (PBE) results for K2ZrCoSe after structural relaxation.

The structure in POSCAR format:
```
K2ZrCoSe
1.0
5.796 0.000 0.000
0.000 4.616 0.000
0.000 0.000 5.796
Se Zr Co K
1 1 1 2
direct
0.500 0.500 0.500
0.000 0.500 0.000
0.000 0.000 0.000
0.000 0.000 0.500
0.500 0.000 0.000
```

Properties
V, Å³ per atom: 31.021
N(E_F), states/eV per atom: 0.6341
Formation energy from raw total energies, meV per atom: 525

DFT (PBE) results for Rb3Ho3NpO8 after structural relaxation.

The structure in POSCAR format:
```
Rb3Ho3NpO8
1.0
-4.030 -2.877 -4.903
4.238 -4.002 3.817
-6.322 2.776 3.568
Rb O Ho Np
3 8 3 1
direct
0.000 0.500 0.000
0.000 0.000 0.000
0.500 0.500 0.000
0.730 0.948 0.666
0.218 0.435 0.666
0.277 0.554 0.331
0.723 0.446 0.669
0.782 0.052 0.334
0.218 0.948 0.666
0.270 0.052 0.334
0.782 0.565 0.334
0.500 0.000 0.500
0.000 0.500 0.500
0.500 0.500 0.500
0.000 0.000 0.500
```

Properties
V, Å³ per atom: 18.640
N(E_F), states/eV per atom: 0.7458
Formation energy from raw total energies, meV per atom: -2777

DFT (PBE) results for Sm4Te4Au after structural relaxation.

The structure in POSCAR format:
```
Sm4Te4Au
1.0
7.268 0.000 0.000
0.000 7.268 0.000
-3.634 -3.634 6.751
Te Au Sm
4 1 4
direct
0.284 0.284 0.568
0.716 0.716 0.432
0.500 0.000 0.000
0.000 0.500 0.000
0.000 0.000 0.000
0.906 0.351 0.256
0.351 0.906 0.256
0.649 0.649 0.744
0.094 0.094 0.744
```

Properties
V, Å³ per atom: 39.629
N(E_F), states/eV per atom: 0.9592
Formation energy from raw total energies, meV per atom: -956

DFT (PBE) results for LiSn2H2 after structural relaxation.

The structure in POSCAR format:
```
LiSn2H2
1.0
3.285 0.000 0.000
0.000 3.285 0.000
1.642 1.642 7.076
Sn Li H
2 1 2
direct
0.639 0.639 0.722
0.361 0.361 0.278
0.000 0.000 0.000
0.750 0.250 0.500
0.250 0.750 0.500
```

Properties
V, Å³ per atom: 15.270
N(E_F), states/eV per atom: 0.3297
Uncorrected energy, eV per cell: -15.36

DFT (PBE) results for Ba3HgPb after structural relaxation.

The structure in POSCAR format:
```
Ba3HgPb
1.0
-0.708 3.956 -5.504
-2.904 -5.177 -3.348
-6.125 1.998 2.224
Ba Hg Pb
3 1 1
direct
0.000 0.500 0.000
0.500 0.000 0.000
0.000 0.000 0.500
0.500 0.500 0.500
0.000 0.000 0.000
```

Properties
V, Å³ per atom: 63.308
N(E_F), states/eV per atom: 1.1955
Formation enthalpy at 0 K, eV/f.u.: -0.581

DFT (PBE) results for Zr2CdAg2 after structural relaxation.

The structure in POSCAR format:
```
Zr2CdAg2
1.0
8.432 0.000 0.000
0.000 8.432 0.000
0.000 0.000 3.043
Cd Ag Zr
2 4 4
direct
0.500 0.500 0.000
0.000 0.000 0.000
0.625 0.875 0.500
0.875 0.375 0.500
0.375 0.125 0.500
0.125 0.625 0.500
0.170 0.330 0.000
0.830 0.670 0.000
0.330 0.830 0.000
0.670 0.170 0.000
```

Properties
V, Å³ per atom: 21.631
N(E_F), states/eV per atom: 0.6590
Formation enthalpy at 0 K, eV/f.u.: 0.818

DFT (PBE) results for ErTi2O5 after structural relaxation.

The structure in POSCAR format:
```
ErTi2O5
1.0
3.505 0.000 0.000
0.000 4.933 0.000
0.000 0.000 11.918
O Ti Er
10 4 2
direct
0.500 0.427 0.500
0.500 0.589 0.830
0.000 0.411 0.670
0.000 0.573 0.000
0.500 0.929 0.388
0.000 0.071 0.112
0.500 0.589 0.170
0.000 0.071 0.888
0.500 0.929 0.612
0.000 0.411 0.330
0.000 0.417 0.155
0.000 0.417 0.845
0.500 0.583 0.655
0.500 0.583 0.345
0.000 0.129 0.500
0.500 0.871 0.000
```

Properties
V, Å³ per atom: 12.878
N(E_F), states/eV per atom: 0.3142
Formation energy from raw total energies, meV per atom: -3150

DFT (PBE) results for MgTlPb2 after structural relaxation.

The structure in POSCAR format:
```
MgTlPb2
1.0
-0.942 0.783 3.308
-1.373 -3.029 0.325
7.449 -6.632 3.691
Pb Tl Mg
2 1 1
direct
0.000 0.795 0.462
0.000 0.205 0.038
0.500 0.500 0.750
0.500 0.500 0.250
```

Properties
V, Å³ per atom: 29.784
N(E_F), states/eV per atom: 0.5070
Formation enthalpy at 0 K, eV/f.u.: 0.024

DFT (PBE) results for ThGaAg3 after structural relaxation.

The structure in POSCAR format:
```
ThGaAg3
1.0
-3.584 -2.957 -1.664
4.422 -4.431 -1.651
-0.513 -2.731 5.957
Ga Ag Th
2 6 2
direct
0.476 0.623 0.201
0.976 0.729 0.701
0.476 0.918 0.497
0.476 0.917 0.904
0.476 0.234 0.200
0.976 0.436 0.404
0.976 0.435 0.997
0.976 0.119 0.700
0.476 0.431 0.701
0.976 0.922 0.201
```

Properties
V, Å³ per atom: 21.003
N(E_F), states/eV per atom: 0.4054
Formation enthalpy at 0 K, eV/f.u.: -0.806

DFT (PBE) results for SiAuIN2 after structural relaxation.

The structure in POSCAR format:
```
SiAuIN2
1.0
-1.286 -1.717 -3.447
3.411 -2.195 -0.179
-3.354 -5.539 4.011
I Si Au N
1 1 1 2
direct
0.000 0.000 0.500
0.500 0.500 0.500
0.000 0.000 0.000
0.500 0.000 0.000
0.000 0.500 0.000
```

Properties
V, Å³ per atom: 25.112
N(E_F), states/eV per atom: 0.4013
Formation energy from raw total energies, meV per atom: 1836